Here is a relaxed structure of SiP2Cl from the Alexandria database. Energies are from PBE-GGA.

a = 3.076 Å, b = 3.076 Å, c = 8.072 Å
α = 90.00°, β = 90.00°, γ = 90.00°
Sites, in units of the cell vectors:
Cl 0.500 0.500 0.676
Si 0.000 0.000 0.469
P 0.500 0.500 0.242
P 0.000 0.000 0.113

## Properties
**Symmetry**: P4mm (99)
**Total DFT energy (no corrections)**: -4.233 eV per atom
**Raw formation energy**: 0.289 eV/atom



Here is a relaxed structure of SiPCl2 from the Alexandria database. Energies are from PBE-GGA.

a = 4.081 Å, b = 4.289 Å, c = 4.289 Å
α = 90.00°, β = 90.00°, γ = 90.00°
Sites, in units of the cell vectors:
Si 0.500 0.000 0.500
P 0.500 0.500 0.000
Cl 0.000 0.500 0.500
Cl 0.000 0.000 0.000

## Properties
**Symmetry**: P4/mmm (123)
**Total DFT energy (no corrections)**: -2.945 eV per atom
**Raw formation energy**: 0.686 eV/atom